No. 1
Entry from Alexandria via LeMat-Bulk: crystalline GaAg2As at its relaxed geometry (PBE-GGA).

The formation energy from the elements is 124 meV per atom. For the calculated total energy, the calculation gives -3.221 eV/atom.

The space group is I-42d (No. 122) and the conventional cell measures 4.132, 4.132 and 18.231 Å, with angles of 90.00, 90.00 and 90.00 degrees. The inequivalent atoms are Ga at (0.000, 0.000, 0.000), Ag at (0.246, 0.250, 0.125) and As at (0.000, 0.000, 0.500).

No. 2
Entry from Alexandria via LeMat-Bulk: crystalline GaAgAs2 at its relaxed geometry (PBE-GGA).

The formation energy from the elements is 95 meV per atom. For the calculated total energy, the calculation gives -3.699 eV/atom.

The space group is I-42d (No. 122) and the conventional cell measures 5.954, 5.954 and 11.097 Å, with angles of 90.00, 90.00 and 90.00 degrees. The inequivalent atoms are Ga at (0.000, 0.000, 0.000), Ag at (0.000, 0.000, 0.500) and As at (0.238, 0.250, 0.125).

No. 3
Entry from Alexandria via LeMat-Bulk: crystalline GaAg2As2 at its relaxed geometry (PBE-GGA).

The formation energy from the elements is 235 meV per atom. For the calculated total energy, the calculation gives -3.370 eV/atom.

The space group is I4/mmm (No. 139) and the conventional cell measures 3.839, 3.839 and 14.061 Å, with angles of 90.00, 90.00 and 90.00 degrees. The inequivalent atoms are Ga at (0.000, 0.000, 0.000), Ag at (0.000, 0.000, 0.404) and As at (0.000, 0.500, 0.250).

No. 4
Entry from Alexandria via LeMat-Bulk: crystalline Ga2Ag2As at its relaxed geometry (PBE-GGA).

The formation energy from the elements is 150 meV per atom. For the calculated total energy, the calculation gives -3.131 eV/atom.

The space group is P4/mbm (No. 127) and the conventional cell measures 7.757, 7.757 and 3.156 Å, with angles of 90.00, 90.00 and 90.00 degrees. The inequivalent atoms are Ga at (0.171, 0.329, 0.000), Ag at (0.131, 0.631, 0.500) and As at (0.000, 0.000, 0.500).

No. 5
Entry from Alexandria via LeMat-Bulk: crystalline Ga2AgAs at its relaxed geometry (PBE-GGA).

The formation energy from the elements is 96 meV per atom. For the calculated total energy, the calculation gives -3.293 eV/atom.

The space group is I-42d (No. 122) and the conventional cell measures 6.418, 6.418 and 9.404 Å, with angles of 90.00, 90.00 and 90.00 degrees. The inequivalent atoms are Ga at (0.236, 0.250, 0.125), Ag at (0.000, 0.000, 0.500) and As at (0.000, 0.000, 0.000).

No. 6
Entry from Alexandria via LeMat-Bulk: crystalline GaAgAsIr2 at its relaxed geometry (PBE-GGA).

The formation energy from the elements is 1152 meV per atom. For the calculated total energy, the calculation gives -4.498 eV/atom.

The space group is P4/mmm (No. 123) and the conventional cell measures 4.623, 4.623 and 4.741 Å, with angles of 90.00, 90.00 and 90.00 degrees. The inequivalent atoms are Ga at (0.000, 0.000, 0.000), Ag at (0.500, 0.500, 0.500), As at (0.000, 0.000, 0.500) and Ir at (0.000, 0.500, 0.000).

No. 7
Entry from Alexandria via LeMat-Bulk: crystalline GaAg2AsIr at its relaxed geometry (PBE-GGA).

The formation energy from the elements is 806 meV per atom. For the calculated total energy, the calculation gives -3.642 eV/atom.

The space group is P4/mmm (No. 123) and the conventional cell measures 4.756, 4.756 and 4.653 Å, with angles of 90.00, 90.00 and 90.00 degrees. The inequivalent atoms are Ga at (0.000, 0.000, 0.000), Ag at (0.000, 0.500, 0.000), As at (0.500, 0.500, 0.500) and Ir at (0.000, 0.000, 0.500).

No. 8
Entry from Alexandria via LeMat-Bulk: crystalline KGa2AgAs at its relaxed geometry (PBE-GGA).

The formation energy from the elements is 305 meV per atom. For the calculated total energy, the calculation gives -2.625 eV/atom.

The space group is P4/mmm (No. 123) and the conventional cell measures 5.008, 5.008 and 6.325 Å, with angles of 90.00, 90.00 and 90.00 degrees. The inequivalent atoms are K at (0.000, 0.000, 0.000), Ga at (0.000, 0.500, 0.500), Ag at (0.500, 0.500, 0.000) and As at (0.000, 0.000, 0.500).

No. 9
Entry from Alexandria via LeMat-Bulk: crystalline Ga2AgAsO6 at its relaxed geometry (PBE-GGA).

As for the formation energy from raw total energies: -13.1 eV/f.u. For the calculated total energy, the calculation gives -5.641 eV/atom.

The space group is C2/c (No. 15) and the conventional cell measures 9.072, 11.515 and 5.900 Å, with angles of 90.00, 114.47 and 90.00 degrees. The inequivalent atoms are Ga at (0.130, 0.076, 0.159), Ag at (0.000, 0.401, 0.250), As at (0.000, 0.304, 0.750), O at (0.099, 0.232, 0.025), O at (0.121, 0.056, 0.470) and O at (0.130, 0.398, 0.693).

No. 10
Entry from Alexandria via LeMat-Bulk: crystalline GaAgAs2O8 at its relaxed geometry (PBE-GGA).

As for the formation energy from raw total energies: -9.4 eV/f.u. For the calculated total energy, the calculation gives -5.352 eV/atom.

The space group is I-4m2 (No. 119) and the conventional cell measures 6.672, 6.672 and 6.399 Å, with angles of 90.00, 90.00 and 90.00 degrees. The inequivalent atoms are Ga at (0.000, 0.000, 0.000), Ag at (0.000, 0.500, 0.750), As at (0.000, 0.000, 0.500), As at (0.000, 0.500, 0.250), O at (0.000, 0.180, 0.695) and O at (0.000, 0.302, 0.075).

No. 11
Entry from Alexandria via LeMat-Bulk: crystalline GaAg2AsO4 at its relaxed geometry (PBE-GGA).

As for the formation energy from raw total energies: -6.5 eV/f.u. For the calculated total energy, the calculation gives -4.960 eV/atom.

The space group is I-4 (No. 82) and the conventional cell measures 5.184, 5.184 and 9.030 Å, with angles of 90.00, 90.00 and 90.00 degrees. The inequivalent atoms are Ga at (0.000, 0.000, 0.000), Ag at (0.000, 0.000, 0.500), Ag at (0.000, 0.500, 0.750), As at (0.000, 0.500, 0.250) and O at (0.175, 0.241, 0.121).

No. 12
Entry from Alexandria via LeMat-Bulk: crystalline Ga2AgAsOs at its relaxed geometry (PBE-GGA).

The formation energy from the elements is 1448 meV per atom. For the calculated total energy, the calculation gives -3.509 eV/atom.

The space group is P4/mmm (No. 123) and the conventional cell measures 4.787, 4.787 and 4.997 Å, with angles of 90.00, 90.00 and 90.00 degrees. The inequivalent atoms are Ga at (0.000, 0.500, 0.000), Ag at (0.000, 0.000, 0.000), As at (0.000, 0.000, 0.500) and Os at (0.500, 0.500, 0.500).

- Which formula does entry 8 have?
  KGa2AgAs